Record 1
# Ce2NO | Alexandria via LeMat-Bulk | PBE | relaxed
data_Ce2NO
_chemical_formula_sum 'Ce2 N1 O1'
_cell_length_a 6.1327
_cell_length_b 6.1327
_cell_length_c 6.1327
_cell_angle_alpha 33.60
_cell_angle_beta 33.60
_cell_angle_gamma 33.60
_symmetry_space_group_name_H-M 'P 1'
_symmetry_Int_Tables_number 1
loop_
_symmetry_equiv_pos_as_xyz
'x,y,z'
loop_
_atom_site_label
_atom_site_fract_x
_atom_site_fract_y
_atom_site_fract_z
_atom_site_occupancy
Ce1 0.2488 0.2488 0.2488 1
Ce2 0.7512 0.7512 0.7512 1
N1 0.5000 0.5000 0.5000 1
O1 0.0000 0.0000 0.0000 1
# - Formation energy without anion corrections: -2.2424 eV/atom
# - Distance to the lowest polymorph of the same formula: 0 meV/atom
# - Space group: R-3m

***

Record 2
# CdReHg2 | Alexandria via LeMat-Bulk | PBE | relaxed
data_CdReHg2
_chemical_formula_sum 'Cd1 Re1 Hg2'
_cell_length_a 2.9004
_cell_length_b 4.4474
_cell_length_c 6.0661
_cell_angle_alpha 90.00
_cell_angle_beta 90.81
_cell_angle_gamma 90.00
_symmetry_space_group_name_H-M 'P 1'
_symmetry_Int_Tables_number 1
loop_
_symmetry_equiv_pos_as_xyz
'x,y,z'
loop_
_atom_site_label
_atom_site_fract_x
_atom_site_fract_y
_atom_site_fract_z
_atom_site_occupancy
Cd1 0.0000 0.0000 0.0000 1
Re1 0.5060 0.5000 0.2319 1
Hg1 0.0125 0.0000 0.4615 1
Hg2 0.5033 0.5000 0.7380 1
# - ΔE_f: 0.720 eV per atom
# - Space group: Pm

***

Record 3
# Rb4Cd3InBr12 | Alexandria via LeMat-Bulk | PBE | relaxed
data_Rb4Cd3InBr12
_chemical_formula_sum 'Rb4 Cd3 In1 Br12'
_cell_length_a 9.7139
_cell_length_b 9.7139
_cell_length_c 9.7139
_cell_angle_alpha 109.47
_cell_angle_beta 109.47
_cell_angle_gamma 109.47
_symmetry_space_group_name_H-M 'P 1'
_symmetry_Int_Tables_number 1
loop_
_symmetry_equiv_pos_as_xyz
'x,y,z'
loop_
_atom_site_label
_atom_site_fract_x
_atom_site_fract_y
_atom_site_fract_z
_atom_site_occupancy
Rb1 0.0000 0.0000 0.5000 1
Rb2 0.0000 0.5000 0.0000 1
Rb3 0.5000 0.0000 0.0000 1
Rb4 0.5000 0.5000 0.5000 1
Cd1 0.0000 0.5000 0.5000 1
Cd2 0.5000 0.0000 0.5000 1
Cd3 0.5000 0.5000 0.0000 1
In1 0.0000 0.0000 0.0000 1
Br1 0.0000 0.2494 0.2494 1
Br2 0.0000 0.7506 0.7506 1
Br3 0.2494 0.0000 0.2494 1
Br4 0.2494 0.2494 0.0000 1
Br5 0.2500 0.5000 0.7500 1
Br6 0.2500 0.7500 0.5000 1
Br7 0.5000 0.2500 0.7500 1
Br8 0.5000 0.7500 0.2500 1
Br9 0.7500 0.2500 0.5000 1
Br10 0.7500 0.5000 0.2500 1
Br11 0.7506 0.0000 0.7506 1
Br12 0.7506 0.7506 0.0000 1
# - Formation energy without anion corrections: -1.1767 eV/atom
# - Space group: Im-3m